A plane-wave DFT calculation with GGA-PBE was carried out for a relaxed V3Bi crystal.

Raw total energy (eV/f.u.): -30.5
Energy relative to the elements (eV/atom): 0.183
Magnetization (μB/cell): 0.0
Space group: Pm-3n (223)

a b c (Å): 5.027 5.027 5.027
angles (deg): 90.00 90.00 90.00
Fractional positions:
V 0.000 0.250 0.500
V 0.000 0.750 0.500
V 0.250 0.500 0.000
V 0.500 0.000 0.250
V 0.500 0.000 0.750
V 0.750 0.500 0.000
Bi 0.000 0.000 0.000
Bi 0.500 0.500 0.500